Record 1
The following is a DFT calculation (PBE) of an optimized crystal structure of CsCrSi3.

Cell: 5.487 5.487 5.487 Å, 90.00 90.00 90.00°
Site moments in Bohr magnetons follow the coordinates.
Fractional positions:
Cs (0.000, 0.000, 0.000)  0.03
Cr (0.500, 0.500, 0.500)  -4.17
Si (0.000, 0.500, 0.000)  0.05
Si (0.000, 0.000, 0.500)  0.02
Si (0.500, 0.000, 0.000)  0.04

formation energy from raw total energies = 2524 meV per atom
VASP energy = -2.83 eV per atom
N(E_F) = 0.87 states/eV per atom

Record 2
The following is a DFT calculation (PBE) of an optimized crystal structure of CsCrSi3.

Cell: 4.675 4.675 4.675 Å, 90.00 90.00 90.00°
Fractional positions:
Cs (0.500, 0.500, 0.500)
Cr (0.000, 0.000, 0.000)
Si (0.000, 0.500, 0.000)
Si (0.000, 0.000, 0.500)
Si (0.500, 0.000, 0.000)

formation energy from raw total energies = 304 meV per atom
VASP energy = -5.05 eV per atom
N(E_F) = 0.29 states/eV per atom

Record 3
The following is a DFT calculation (PBE) of an optimized crystal structure of CsCrSi2.

Cell: 4.912 4.912 4.912 Å, 60.00 60.00 60.00°
Fractional positions:
Cs (0.500, 0.500, 0.500)
Cr (0.000, 0.000, 0.000)
Si (0.250, 0.250, 0.250)
Si (0.750, 0.750, 0.750)

formation energy from raw total energies = 1603 meV per atom
VASP energy = -3.73 eV per atom
N(E_F) = 4.16 states/eV per atom

Record 4
The following is a DFT calculation (PBE) of an optimized crystal structure of CsCrSn.

Cell: 4.514 4.621 12.231 Å, 100.60 91.01 90.00°
Fractional positions:
Cs (0.974, 0.132, 0.264)
Cs (0.480, 0.836, 0.659)
Cr (0.251, 0.976, 0.943)
Cr (0.648, 0.987, 0.965)
Sn (0.449, 0.541, 0.076)
Sn (0.944, 0.451, 0.892)

VASP energy = -4.48 eV per atom
N(E_F) = 0.62 states/eV per atom
formation enthalpy at 0 K = 1.04 eV/f.u.

Record 5
The following is a DFT calculation (PBE) of an optimized crystal structure of CsCrSn.

Cell: 4.612 6.130 8.386 Å, 97.19 90.44 111.97°
Fractional positions:
Cs (0.372, 0.754, 0.658)
Cs (0.628, 0.246, 0.342)
Cr (0.072, 0.145, 0.973)
Cr (0.928, 0.855, 0.027)
Sn (0.686, 0.376, 0.887)
Sn (0.314, 0.624, 0.113)

VASP energy = -4.36 eV per atom
N(E_F) = 0.77 states/eV per atom
formation enthalpy at 0 K = 1.39 eV/f.u.

Record 6
The following is a DFT calculation (PBE) of an optimized crystal structure of CsCrSn2.

Cell: 5.543 5.543 5.543 Å, 60.00 60.00 60.00°
Site moments in Bohr magnetons follow the coordinates.
Fractional positions:
Cs (0.500, 0.500, 0.500)  0.00
Cr (0.000, 0.000, 0.000)  3.96
Sn (0.250, 0.250, 0.250)  -0.01
Sn (0.750, 0.750, 0.750)  -0.01

VASP energy = -3.99 eV per atom
N(E_F) = 0.83 states/eV per atom
formation enthalpy at 0 K = 2.50 eV/f.u.